# 1
A relaxed structure of HoGaHg2, computed with PBE.

Cell lengths 6.555, 6.555, 4.903 Å; angles 90.00, 90.00, 121.29 degrees
Atoms (fractional coordinates):
Ga1 0.661 0.339 0.250
Ga2 0.339 0.661 0.750
Hg1 0.170 0.339 0.250
Hg2 0.661 0.830 0.250
Hg3 0.339 0.170 0.750
Hg4 0.830 0.661 0.750
Ho1 0.171 0.829 0.250
Ho2 0.829 0.171 0.750

Calculated values
Volume: 22.5 Å³ per atom
Uncorrected energy: -2.40 eV/atom
Spin magnetization: 0.00 Bohr magnetons per cell

=====

# 2
A relaxed structure of HoGa2Hg, computed with PBE.

Cell lengths 6.266, 6.266, 4.779 Å; angles 90.00, 90.00, 117.58 degrees
Atoms (fractional coordinates):
Ga1 0.308 0.151 0.250
Ga2 0.849 0.692 0.250
Ga3 0.151 0.308 0.750
Ga4 0.692 0.849 0.750
Hg1 0.834 0.166 0.250
Hg2 0.166 0.834 0.750
Ho1 0.344 0.656 0.250
Ho2 0.656 0.344 0.750

Calculated values
Volume: 20.8 Å³ per atom
Uncorrected energy: -3.14 eV/atom
Spin magnetization: 0.00 Bohr magnetons per cell